1.
Below is crystalline Ac4HoSe7 at its relaxed geometry, with properties calculated at the GGA-PBE level.

abc: 14.4617 4.2987 12.6665
angles: 90.00 105.38 90.00
Space group Cm (No. 8)
Symmetry-distinct sites (fractional):
Ac (0.0000, 0.0000, 0.0000) (multiplicity 2)
Ac (0.0963, 0.5000, 0.3740) (multiplicity 2)
Ac (0.2012, 0.0000, 0.7698) (multiplicity 2)
Ac (0.3960, 0.5000, 0.5582) (multiplicity 2)
Ho (0.2749, 0.5000, 0.1392) (multiplicity 2)
Se (0.0575, 0.5000, 0.6182) (multiplicity 2)
Se (0.1310, 0.5000, 0.9291) (multiplicity 2)
Se (0.1683, 0.0000, 0.2156) (multiplicity 2)
Se (0.2349, 0.0000, 0.5184) (multiplicity 2)
Se (0.3556, 0.5000, 0.7806) (multiplicity 2)
Se (0.3647, 0.0000, 0.0529) (multiplicity 2)
Se (0.4323, 0.5000, 0.3298) (multiplicity 2)

Formation energy from raw total energies = -1.97 eV per atom
Crystal system = monoclinic
VASP energy = -138.0 eV per cell

***

2.
Below is crystalline AcHo2Se at its relaxed geometry, with properties calculated at the GGA-PBE level.

abc: 3.8401 3.8401 29.4655
angles: 90.00 90.00 120.00
Space group R-3m (No. 166, hexagonal axes)
Symmetry-distinct sites (fractional):
Ac (0.0000, 0.0000, 0.0000) (multiplicity 3)
Ho (0.0000, 0.0000, 0.2288) (multiplicity 6)
Se (0.0000, 0.0000, 0.5000) (multiplicity 3)

Formation energy from raw total energies = -0.80 eV per atom
Crystal system = trigonal
VASP energy = -59.8 eV per cell

***

3.
Below is crystalline AcHoSe at its relaxed geometry, with properties calculated at the GGA-PBE level.

abc: 5.0281 5.0281 4.3542
angles: 90.00 90.00 120.00
Space group P3m1 (No. 156)
Symmetry-distinct sites (fractional):
Ac (0.0000, 0.0000, 0.0000) (multiplicity 1)
Ho (0.6667, 0.3333, 0.4979) (multiplicity 1)
Se (0.3333, 0.6667, 0.4894) (multiplicity 1)

Formation energy from raw total energies = -0.69 eV per atom
Crystal system = trigonal
VASP energy = -14.2 eV per cell

***

4.
Below is crystalline AcHo3Se4 at its relaxed geometry, with properties calculated at the GGA-PBE level.

abc: 4.1057 4.1057 28.0364
angles: 90.00 90.00 120.00
Space group P6_3/mmc (No. 194)
Symmetry-distinct sites (fractional):
Ac (0.3333, 0.6667, 0.2500) (multiplicity 2)
Ho (0.0000, 0.0000, 0.0000) (multiplicity 2)
Ho (0.3333, 0.6667, 0.6163) (multiplicity 4)
Se (0.0000, 0.0000, 0.1744) (multiplicity 4)
Se (0.3333, 0.6667, 0.0583) (multiplicity 4)

Formation energy from raw total energies = -1.74 eV per atom
Crystal system = hexagonal
VASP energy = -91.4 eV per cell

***

5.
Below is crystalline AcHoSe2 at its relaxed geometry, with properties calculated at the GGA-PBE level.

abc: 4.1307 4.1307 22.6083
angles: 90.00 90.00 120.00
Space group R3m (No. 160, hexagonal axes)
Symmetry-distinct sites (fractional):
Ac (0.0000, 0.0000, 0.0000) (multiplicity 3)
Ho (0.0000, 0.0000, 0.1753) (multiplicity 3)
Se (0.0000, 0.0000, 0.5762) (multiplicity 3)
Se (0.0000, 0.0000, 0.7649) (multiplicity 3)

Formation energy from raw total energies = -1.76 eV per atom
Crystal system = trigonal
VASP energy = -68.1 eV per cell

***

6.
Below is crystalline Ac2HoSe4 at its relaxed geometry, with properties calculated at the GGA-PBE level.

abc: 7.3161 8.1883 15.1007
angles: 90.00 90.00 90.00
Space group Pbca (No. 61)
Symmetry-distinct sites (fractional):
Ac (0.0056, 0.1046, 0.1408) (multiplicity 8)
Ho (0.0000, 0.0000, 0.5000) (multiplicity 4)
Se (0.1265, 0.5423, 0.8211) (multiplicity 8)
Se (0.1807, 0.6966, 0.5431) (multiplicity 8)

Formation energy from raw total energies = -1.87 eV per atom
Crystal system = orthorhombic
VASP energy = -159.4 eV per cell

***

7.
Below is crystalline AcHoSe2 at its relaxed geometry, with properties calculated at the GGA-PBE level.

abc: 4.1460 4.1460 22.0507
angles: 90.00 90.00 120.00
Space group R-3m (No. 166, hexagonal axes)
Symmetry-distinct sites (fractional):
Ac (0.0000, 0.0000, 0.0000) (multiplicity 3)
Ho (0.0000, 0.0000, 0.5000) (multiplicity 3)
Se (0.0000, 0.0000, 0.2389) (multiplicity 6)

Formation energy from raw total energies = -1.79 eV per atom
Crystal system = trigonal
VASP energy = -68.4 eV per cell

***

8.
Below is crystalline AcHoSe2 at its relaxed geometry, with properties calculated at the GGA-PBE level.

abc: 4.4349 9.5187 6.8299
angles: 90.00 90.00 90.00
Space group Pmn2_1 (No. 31)
Symmetry-distinct sites (fractional):
Ac (0.0000, 0.0936, 0.0000) (multiplicity 2)
Ho (0.0000, 0.6491, 0.8738) (multiplicity 2)
Se (0.0000, 0.4154, 0.1425) (multiplicity 2)
Se (0.0000, 0.8126, 0.2057) (multiplicity 2)

Formation energy from raw total energies = -1.40 eV per atom
Crystal system = orthorhombic
VASP energy = -42.5 eV per cell

***

9.
Below is crystalline Ac3HoSe4 at its relaxed geometry, with properties calculated at the GGA-PBE level.

abc: 7.6723 8.6894 7.5014
angles: 90.00 109.22 90.00
Space group P2/c (No. 13)
Symmetry-distinct sites (fractional):
Ac (0.0000, 0.1234, 0.2500) (multiplicity 2)
Ac (0.0000, 0.3741, 0.7500) (multiplicity 2)
Ac (0.5000, 0.1268, 0.7500) (multiplicity 2)
Ho (0.5000, 0.3762, 0.2500) (multiplicity 2)
Se (0.2639, 0.1370, 0.0136) (multiplicity 4)
Se (0.2715, 0.3864, 0.4989) (multiplicity 4)

Formation energy from raw total energies = -1.80 eV per atom
Crystal system = monoclinic
VASP energy = -90.5 eV per cell

***

10.
Below is crystalline AcHo2Se4 at its relaxed geometry, with properties calculated at the GGA-PBE level.

abc: 4.1562 13.4412 13.9591
angles: 90.00 90.00 90.00
Space group Cmcm (No. 63)
Symmetry-distinct sites (fractional):
Ac (0.0000, 0.1201, 0.2500) (multiplicity 4)
Ho (0.0000, 0.3707, 0.0633) (multiplicity 8)
Se (0.0000, 0.0000, 0.0000) (multiplicity 4)
Se (0.0000, 0.2694, 0.6172) (multiplicity 8)
Se (0.0000, 0.4487, 0.2500) (multiplicity 4)

Formation energy from raw total energies = -1.91 eV per atom
Crystal system = orthorhombic
VASP energy = -162.3 eV per cell

***

11.
Below is crystalline Ac3Ho5Se12 at its relaxed geometry, with properties calculated at the GGA-PBE level.

abc: 17.2818 17.2818 17.2818
angles: 90.00 90.00 90.00
Space group Ia-3d (No. 230)
Symmetry-distinct sites (fractional):
Ac (0.0000, 0.2500, 0.1250) (multiplicity 24)
Ho (0.0000, 0.0000, 0.0000) (multiplicity 16)
Ho (0.0000, 0.2500, 0.3750) (multiplicity 24)
Se (0.0244, 0.0641, 0.6507) (multiplicity 96)

Formation energy from raw total energies = -1.84 eV per atom
Crystal system = cubic
VASP energy = -910.0 eV per cell

***

12.
Below is crystalline Ac3Sm3HoSe8 at its relaxed geometry, with properties calculated at the GGA-PBE level.

abc: 8.4876 8.4876 21.5069
angles: 90.00 90.00 120.00
Space group R-3m (No. 166, hexagonal axes)
Symmetry-distinct sites (fractional):
Ac (0.0000, 0.5000, 0.0000) (multiplicity 9)
Sm (0.0000, 0.5000, 0.5000) (multiplicity 9)
Ho (0.0000, 0.0000, 0.5000) (multiplicity 3)
Se (0.0000, 0.0000, 0.2434) (multiplicity 6)
Se (0.0037, 0.5018, 0.2429) (multiplicity 18)

Formation energy from raw total energies = -1.87 eV per atom
Crystal system = trigonal
VASP energy = -261.2 eV per cell

***

13.
Below is crystalline Ac4SmHo3Se8 at its relaxed geometry, with properties calculated at the GGA-PBE level.

abc: 8.3339 8.3339 22.0594
angles: 90.00 90.00 120.00
Space group R-3m (No. 166, hexagonal axes)
Symmetry-distinct sites (fractional):
Ac (0.0000, 0.0000, 0.0000) (multiplicity 3)
Ac (0.0000, 0.5000, 0.0000) (multiplicity 9)
Sm (0.0000, 0.0000, 0.5000) (multiplicity 3)
Ho (0.0000, 0.5000, 0.5000) (multiplicity 9)
Se (0.0000, 0.0000, 0.2389) (multiplicity 6)
Se (0.0055, 0.5027, 0.7599) (multiplicity 18)

Formation energy from raw total energies = -1.80 eV per atom
Crystal system = trigonal
VASP energy = -274.5 eV per cell

***

14.
Below is crystalline Ac2SmHoSe6 at its relaxed geometry, with properties calculated at the GGA-PBE level.

abc: 7.6049 7.6049 19.6373
angles: 90.00 90.00 120.00
Space group R3 (No. 146, hexagonal axes)
Symmetry-distinct sites (fractional):
Ac (0.0000, 0.0000, 0.0000) (multiplicity 3)
Ac (0.0000, 0.0000, 0.4991) (multiplicity 3)
Sm (0.0000, 0.0000, 0.2096) (multiplicity 3)
Ho (0.0000, 0.0000, 0.7083) (multiplicity 3)
Se (0.0583, 0.3488, 0.7795) (multiplicity 9)
Se (0.0615, 0.7037, 0.2809) (multiplicity 9)

Formation energy from raw total energies = -1.92 eV per atom
Crystal system = trigonal
VASP energy = -172.8 eV per cell

***

15.
Below is crystalline Ac4Sm3HoSe8 at its relaxed geometry, with properties calculated at the GGA-PBE level.

abc: 8.5062 8.5062 21.6048
angles: 90.00 90.00 120.00
Space group R-3m (No. 166, hexagonal axes)
Symmetry-distinct sites (fractional):
Ac (0.0000, 0.0000, 0.0000) (multiplicity 3)
Ac (0.0000, 0.5000, 0.0000) (multiplicity 9)
Sm (0.0000, 0.5000, 0.5000) (multiplicity 9)
Ho (0.0000, 0.0000, 0.5000) (multiplicity 3)
Se (0.0000, 0.0000, 0.2430) (multiplicity 6)
Se (0.0059, 0.5030, 0.2416) (multiplicity 18)

Formation energy from raw total energies = -1.82 eV per atom
Crystal system = trigonal
VASP energy = -276.5 eV per cell

***

16.
Below is crystalline AcSm3Ho2Se6 at its relaxed geometry, with properties calculated at the GGA-PBE level.

abc: 7.2456 12.5923 7.2478
angles: 90.00 109.66 90.00
Space group C2/m (No. 12)
Symmetry-distinct sites (fractional):
Ac (0.0000, 0.0000, 0.0000) (multiplicity 2)
Sm (0.0000, 0.1563, 0.5000) (multiplicity 4)
Sm (0.0000, 0.5000, 0.5000) (multiplicity 2)
Ho (0.0000, 0.3331, 0.0000) (multiplicity 4)
Se (0.2282, 0.5000, 0.2417) (multiplicity 4)
Se (0.2402, 0.3238, 0.7482) (multiplicity 8)

Formation energy from raw total energies = -1.78 eV per atom
Crystal system = monoclinic
VASP energy = -139.3 eV per cell

***

17.
Below is crystalline Ac2SmHoSe4 at its relaxed geometry, with properties calculated at the GGA-PBE level.

abc: 7.2812 4.1774 7.7248
angles: 90.00 108.15 90.00
Space group P2/m (No. 10)
Symmetry-distinct sites (fractional):
Ac (0.0000, 0.0000, 0.0000) (multiplicity 1)
Ac (0.5000, 0.5000, 0.0000) (multiplicity 1)
Sm (0.0000, 0.5000, 0.5000) (multiplicity 1)
Ho (0.5000, 0.0000, 0.5000) (multiplicity 1)
Se (0.2467, 0.0000, 0.7245) (multiplicity 2)
Se (0.2653, 0.5000, 0.2791) (multiplicity 2)

Formation energy from raw total energies = -1.81 eV per atom
Crystal system = monoclinic
VASP energy = -45.9 eV per cell

***

18.
Below is crystalline Ac3Sm2HoSe6 at its relaxed geometry, with properties calculated at the GGA-PBE level.

abc: 7.3176 12.7182 7.6457
angles: 90.00 108.73 90.00
Space group C2/m (No. 12)
Symmetry-distinct sites (fractional):
Ac (0.0000, 0.0000, 0.0000) (multiplicity 2)
Ac (0.0000, 0.3302, 0.0000) (multiplicity 4)
Sm (0.0000, 0.1665, 0.5000) (multiplicity 4)
Ho (0.0000, 0.5000, 0.5000) (multiplicity 2)
Se (0.2376, 0.3368, 0.7241) (multiplicity 8)
Se (0.2495, 0.0000, 0.7275) (multiplicity 4)

Formation energy from raw total energies = -1.82 eV per atom
Crystal system = monoclinic
VASP energy = -138.2 eV per cell